(w)
BaTlAs at its PBEsol-relaxed geometry. Source: Alexandria, functional meta-GGA SCAN.

Results
The calculation puts the density of states at the Fermi level at 1.9 states/eV/f.u. The crystal system is cubic. The calculated volume is 35.983 Å³/atom.

The structure in extended XYZ format:
```
3
Lattice="5.345 0.000 0.000 2.672 4.629 0.000 2.672 1.543 4.364" Properties=species:S:1:pos:R:3 pbc="T T T"
Tl 5.345 3.086 2.182
As 2.672 1.543 1.091
Ba 0.000 0.000 0.000
```


(x)
BaTlAs at its PBEsol-relaxed geometry. Source: Alexandria, functional meta-GGA SCAN.

Results
The crystal system is trigonal. The calculated volume is 32.445 Å³/atom.

The structure in extended XYZ format:
```
3
Lattice="4.594 0.000 0.000 -2.297 3.978 0.000 0.000 0.000 5.326" Properties=species:S:1:pos:R:3 pbc="T T T"
Ba 0.000 2.652 3.711
Tl 2.297 1.326 1.425
As 0.000 0.000 0.190
```


Consider the structures shown above. The least stable of them is (w).